A plane-wave DFT calculation with PBE was carried out for a geometry-optimized Mn2NiBr structure.

Lattice parameters (Å, degrees): 6.1538 3.5360 6.8803 90.00 107.30 90.00
Atoms (fractional coordinates):
1 Mn 0.2324 0.0000 0.1949
2 Mn 0.2676 0.5000 0.8051
3 Mn 0.7324 0.5000 0.1949
4 Mn 0.7676 0.0000 0.8051
5 Ni 0.0000 0.5000 0.0000
6 Ni 0.5000 0.0000 0.0000
7 Br 0.0000 0.0000 0.5000
8 Br 0.5000 0.5000 0.5000

The theoretical density comes out at 5.8 Mg/m³. The magnetization comes out at 2.17 μB per atom. Its density of states at the Fermi level is 0.387 states/eV per atom. Its energy above the most stable polymorph in this dataset is 0.31 eV/f.u. Its uncorrected formation energy is 255 meV per atom.